Here is crystalline Na5Ce3F12 at its relaxed geometry from the Alexandria database. Energies are from PBE-GGA.

The structure in CIF format:
```
data_Na5Ce3F12
_space_group_name_H-M_alt 'I a -3 d'
_space_group_IT_number 230
_space_group_name_Hall '-I 4bd 2c 3'
_cell_length_a 13.7823
_cell_length_b 13.7823
_cell_length_c 13.7823
_cell_angle_alpha 90.00
_cell_angle_beta 90.00
_cell_angle_gamma 90.00
loop_
_atom_site_label
_atom_site_fract_x
_atom_site_fract_y
_atom_site_fract_z
Na1 0.0000 0.0000 0.0000
Na2 0.0000 0.2500 0.3750
Ce1 0.0000 0.2500 0.1250
F1 0.0171 0.0685 0.6553
```

Total energy in eV per atom: -5.47
DOS at the Fermi energy in states/eV/f.u.: 20.4
Total magnetization in μB/f.u.: 4.20
Raw formation energy in eV per atom: -3.123